Record 1
Pr2InGe3Au4: optimized geometry, PBE.

Cell lengths 4.384, 4.384, 11.423 Å; angles 90.00, 90.00, 90.00 degrees
Atoms (fractional coordinates):
Pr  0.000  0.500  0.226
Pr  0.500  0.000  0.774
In  0.000  0.000  0.500
Ge  0.000  0.500  0.868
Ge  0.500  0.000  0.132
Ge  0.500  0.500  0.500
Au  0.000  0.000  0.000
Au  0.000  0.500  0.649
Au  0.500  0.000  0.351
Au  0.500  0.500  0.000

## Properties
The calculation puts the formation energy at -0.5606 eV/atom.

=====

Record 2
PuInGe2Au6: optimized geometry, PBE.

Cell lengths 7.989, 7.989, 7.890 Å; angles 104.56, 104.56, 112.41 degrees
Atoms (fractional coordinates):
Pu  0.021  0.979  0.750
Pu  0.979  0.021  0.250
In  0.267  0.733  0.750
In  0.733  0.267  0.250
Ge  0.085  0.683  0.330
Ge  0.317  0.915  0.170
Ge  0.683  0.085  0.830
Ge  0.915  0.317  0.670
Au  0.046  0.351  0.054
Au  0.244  0.348  0.652
Au  0.348  0.244  0.152
Au  0.351  0.046  0.554
Au  0.362  0.569  0.425
Au  0.431  0.638  0.075
Au  0.569  0.362  0.925
Au  0.638  0.431  0.575
Au  0.649  0.954  0.446
Au  0.652  0.756  0.848
Au  0.756  0.652  0.348
Au  0.954  0.649  0.946

## Properties
The calculation puts the formation energy at -0.1329 eV/atom.

=====

Record 3
Pu2InGe4Au3: optimized geometry, PBE.

Cell lengths 4.319, 4.319, 11.536 Å; angles 90.00, 90.00, 90.00 degrees
Atoms (fractional coordinates):
Pu  0.000  0.500  0.247
Pu  0.500  0.000  0.753
In  0.500  0.500  0.000
Ge  0.000  0.000  0.500
Ge  0.000  0.500  0.850
Ge  0.500  0.000  0.150
Ge  0.500  0.500  0.500
Au  0.000  0.000  0.000
Au  0.000  0.500  0.633
Au  0.500  0.000  0.367

## Properties
The calculation puts the formation energy at -0.2411 eV/atom.

=====

Record 4
Pu2InGe3Au4: optimized geometry, PBE.

Cell lengths 4.364, 4.364, 11.359 Å; angles 90.00, 90.00, 90.00 degrees
Atoms (fractional coordinates):
Pu  0.000  0.500  0.227
Pu  0.500  0.000  0.773
In  0.000  0.000  0.500
Ge  0.000  0.500  0.866
Ge  0.500  0.000  0.134
Ge  0.500  0.500  0.500
Au  0.000  0.000  0.000
Au  0.000  0.500  0.647
Au  0.500  0.000  0.353
Au  0.500  0.500  0.000

## Properties
The calculation puts the formation energy at -0.3013 eV/atom.